Entry 1:
Material: TaTiSbO6
Method: DFT, PBE
State: optimized geometry

Results
As for the energy above the most stable polymorph in this dataset: 51 kJ/mol of formula units.

Unit cell a=5.2308 b=5.2308 c=9.7049 alpha=90.00 beta=90.00 gamma=120.00
Space group P-31c (No. 163)
Symmetry-distinct sites (fractional):
Ta (0.3333, 0.6667, 0.2500) x2
Ti (0.3333, 0.6667, 0.7500) x2
Sb (0.0000, 0.0000, 0.0000) x2
O (0.0029, 0.3634, 0.6386) x12

Entry 2:
Material: TaTlSb2O8
Method: DFT, PBE
State: optimized geometry

Unit cell a=5.7741 b=5.7741 c=7.6789 alpha=90.00 beta=90.00 gamma=120.00
Space group P-3m1 (No. 164)
Symmetry-distinct sites (fractional):
Ta (0.0000, 0.0000, 0.0000) x1
Tl (0.0000, 0.0000, 0.5000) x1
Sb (0.3333, 0.6667, 0.7455) x2
O (0.1588, 0.3176, 0.8465) x6
O (0.3333, 0.6667, 0.5045) x2

Entry 3:
Material: TaTl2SbO6
Method: DFT, PBE
State: optimized geometry

Unit cell a=8.156 b=8.156 c=8.156 alpha=90.00 beta=90.00 gamma=90.00
Space group Fm-3m (No. 225)
Symmetry-distinct sites (fractional):
Ta (0.000, 0.000, 0.000) x4
Tl (0.250, 0.250, 0.250) x8
Sb (0.000, 0.000, 0.500) x4
O (0.000, 0.000, 0.249) x24

Entry 4:
Material: TaTlSbO5
Method: DFT, PBE
State: optimized geometry

Unit cell a=7.543 b=9.936 c=7.720 alpha=90.00 beta=114.09 gamma=90.00
Space group C2/c (No. 15)
Symmetry-distinct sites (fractional):
Ta (0.000, 0.000, 0.000) x4
Tl (0.000, 0.322, 0.250) x4
Sb (0.000, 0.314, 0.750) x4
O (0.000, 0.048, 0.250) x4
O (0.093, 0.188, 0.600) x8
O (0.226, 0.431, 0.915) x8

Entry 5:
Material: TaTl2Sb2O6
Method: DFT, PBE
State: optimized geometry

Unit cell a=9.428 b=7.018 c=6.278 alpha=90.00 beta=109.24 gamma=90.00
Space group C2/m (No. 12)
Symmetry-distinct sites (fractional):
Ta (0.000, 0.000, 0.000) x2
Tl (0.188, 0.000, 0.602) x4
Sb (0.052, 0.500, 0.774) x4
O (0.024, 0.196, 0.783) x8
O (0.227, 0.000, 0.156) x4

no.,total magnetization (μB per formula unit),ΔE_f (raw) (eV/f.u.),electronic total energy (eV per cell)
1,0.00,-21.9,-150.99
2,0.00,-18.3,-80.46
3,0.00,-16.0,-265.80
4,0.00,-14.1,-228.78
5,0.00,-16.1,-141.45